VASP calculation (GGA-PBE) on a relaxed Te3AsO crystal.

Output
Energy relative to the lowest polymorph listed for this composition: 721 meV/atom
Size of the total moment: 0.00 μB/cell
Calculated volume: 152.2 Å³ per cell
DOS at the Fermi energy: 8.798 states/eV per cell
Formation energy without anion corrections: 105 kJ/mol of atoms

a = 5.3396 Å, b = 5.3396 Å, c = 5.3396 Å
α = 90.00°, β = 90.00°, γ = 90.00°
With the nearest neighbours (Å) after each atom.
Sites, in units of the cell vectors:
As: 0.0000 0.0000 0.0000  6 Te 2.67
Te: 0.0000 0.5000 0.0000  2 As 2.67
Te: 0.0000 0.0000 0.5000  2 As 2.67
Te: 0.5000 0.0000 0.0000  2 As 2.67
O: 0.5000 0.5000 0.5000  12 Te 3.78